(1)
The following is a DFT calculation (PBE) of a relaxed structure of Tb7SmDy2.

CIF file:
```
data_Tb7SmDy2
_symmetry_space_group_name_H-M 'P 1'
_symmetry_Int_Tables_number 1
_cell_length_a 5.562
_cell_length_b 9.247
_cell_length_c 9.247
_cell_angle_alpha 123.73
_cell_angle_beta 90.00
_cell_angle_gamma 90.00
loop_
_symmetry_equiv_pos_as_xyz
'x,y,z'
loop_
_atom_site_label
_atom_site_type_symbol
_atom_site_fract_x
_atom_site_fract_y
_atom_site_fract_z
_atom_site_occupancy
Tb1 Tb 0.000 0.787 0.213 1
Tb2 Tb 0.000 0.213 0.787 1
Tb3 Tb 0.500 0.064 0.291 1
Tb4 Tb 0.500 0.936 0.709 1
Tb5 Tb 0.500 0.291 0.064 1
Tb6 Tb 0.500 0.709 0.936 1
Tb7 Tb 0.500 0.500 0.500 1
Sm1 Sm 0.000 0.000 0.000 1
Dy1 Dy 0.500 0.704 0.296 1
Dy2 Dy 0.500 0.296 0.704 1
```

Offset from the most stable computed form   654 kJ/mol of formula units
Energy   -3.94 eV per atom
D(E_F)   14.8 states/eV per cell



(2)
The following is a DFT calculation (PBE) of a relaxed structure of Tb2Sm3Dy5.

CIF file:
```
data_Tb2Sm3Dy5
_symmetry_space_group_name_H-M 'P 1'
_symmetry_Int_Tables_number 1
_cell_length_a 9.455
_cell_length_b 9.437
_cell_length_c 11.127
_cell_angle_alpha 125.24
_cell_angle_beta 125.28
_cell_angle_gamma 68.89
loop_
_symmetry_equiv_pos_as_xyz
'x,y,z'
loop_
_atom_site_label
_atom_site_type_symbol
_atom_site_fract_x
_atom_site_fract_y
_atom_site_fract_z
_atom_site_occupancy
Tb1 Tb 0.774 0.011 0.739 1
Tb2 Tb 0.226 0.989 0.261 1
Tb3 Tb 0.465 0.728 0.739 1
Tb4 Tb 0.535 0.272 0.261 1
Sm1 Sm 0.233 0.983 0.965 1
Sm2 Sm 0.767 0.017 0.035 1
Sm3 Sm 0.732 0.470 0.249 1
Sm4 Sm 0.268 0.530 0.751 1
Sm5 Sm 0.017 0.779 0.249 1
Sm6 Sm 0.983 0.221 0.751 1
Dy1 Dy 0.273 0.523 0.047 1
Dy2 Dy 0.727 0.477 0.953 1
Dy3 Dy 0.024 0.774 0.547 1
Dy4 Dy 0.529 0.279 0.558 1
Dy5 Dy 0.976 0.226 0.453 1
Dy6 Dy 0.471 0.721 0.442 1
Dy7 Dy 0.853 0.604 0.735 1
Dy8 Dy 0.147 0.396 0.265 1
Dy9 Dy 0.382 0.131 0.735 1
Dy10 Dy 0.618 0.869 0.265 1
```

Offset from the most stable computed form   0 kJ/mol of formula units
Energy   -4.45 eV per atom
D(E_F)   38.3 states/eV per cell



(3)
The following is a DFT calculation (PBE) of a relaxed structure of Tb8Sm4Dy3.

CIF file:
```
data_Tb8Sm4Dy3
_symmetry_space_group_name_H-M 'P 1'
_symmetry_Int_Tables_number 1
_cell_length_a 6.963
_cell_length_b 6.963
_cell_length_c 12.488
_cell_angle_alpha 73.81
_cell_angle_beta 73.81
_cell_angle_gamma 60.00
loop_
_symmetry_equiv_pos_as_xyz
'x,y,z'
loop_
_atom_site_label
_atom_site_type_symbol
_atom_site_fract_x
_atom_site_fract_y
_atom_site_fract_z
_atom_site_occupancy
Tb1 Tb 0.245 0.245 0.264 1
Tb2 Tb 0.247 0.750 0.253 1
Tb3 Tb 0.750 0.750 0.253 1
Tb4 Tb 0.750 0.247 0.253 1
Tb5 Tb 0.755 0.755 0.736 1
Tb6 Tb 0.753 0.250 0.747 1
Tb7 Tb 0.250 0.250 0.747 1
Tb8 Tb 0.250 0.753 0.747 1
Sm1 Sm 0.000 0.000 0.000 1
Sm2 Sm 0.336 0.336 0.991 1
Sm3 Sm 0.500 0.500 0.500 1
Sm4 Sm 0.664 0.664 0.009 1
Dy1 Dy 0.500 0.000 0.500 1
Dy2 Dy 0.000 0.000 0.500 1
Dy3 Dy 0.000 0.500 0.500 1
```

Offset from the most stable computed form   0 kJ/mol of formula units
Energy   -4.52 eV per atom
D(E_F)   23.2 states/eV per cell



(4)
The following is a DFT calculation (PBE) of a relaxed structure of Tb3Sm5Dy3.

CIF file:
```
data_Tb3Sm5Dy3
_symmetry_space_group_name_H-M 'P 1'
_symmetry_Int_Tables_number 1
_cell_length_a 3.447
_cell_length_b 11.227
_cell_length_c 11.227
_cell_angle_alpha 120.00
_cell_angle_beta 90.00
_cell_angle_gamma 90.00
loop_
_symmetry_equiv_pos_as_xyz
'x,y,z'
loop_
_atom_site_label
_atom_site_type_symbol
_atom_site_fract_x
_atom_site_fract_y
_atom_site_fract_z
_atom_site_occupancy
Tb1 Tb 0.000 0.595 0.000 1
Tb2 Tb 0.000 0.000 0.595 1
Tb3 Tb 0.000 0.405 0.405 1
Sm1 Sm 0.500 0.667 0.333 1
Sm2 Sm 0.500 0.333 0.667 1
Sm3 Sm 0.500 0.340 0.000 1
Sm4 Sm 0.500 0.660 0.660 1
Sm5 Sm 0.500 0.000 0.340 1
Dy1 Dy 0.500 0.840 0.000 1
Dy2 Dy 0.500 0.160 0.160 1
Dy3 Dy 0.500 0.000 0.840 1
```

Offset from the most stable computed form   0 kJ/mol of formula units
Energy   -4.33 eV per atom
D(E_F)   16.6 states/eV per cell



(5)
The following is a DFT calculation (PBE) of a relaxed structure of Tb3Sm7Dy2.

CIF file:
```
data_Tb3Sm7Dy2
_symmetry_space_group_name_H-M 'P 1'
_symmetry_Int_Tables_number 1
_cell_length_a 5.557
_cell_length_b 6.229
_cell_length_c 12.216
_cell_angle_alpha 91.39
_cell_angle_beta 90.00
_cell_angle_gamma 90.00
loop_
_symmetry_equiv_pos_as_xyz
'x,y,z'
loop_
_atom_site_label
_atom_site_type_symbol
_atom_site_fract_x
_atom_site_fract_y
_atom_site_fract_z
_atom_site_occupancy
Tb1 Tb 0.500 0.500 0.000 1
Tb2 Tb 0.000 0.939 0.340 1
Tb3 Tb 0.000 0.061 0.660 1
Sm1 Sm 0.500 0.241 0.452 1
Sm2 Sm 0.500 0.759 0.548 1
Sm3 Sm 0.000 0.441 0.183 1
Sm4 Sm 0.000 0.000 0.000 1
Sm5 Sm 0.000 0.559 0.817 1
Sm6 Sm 0.500 0.911 0.831 1
Sm7 Sm 0.500 0.089 0.169 1
Dy1 Dy 0.500 0.615 0.279 1
Dy2 Dy 0.500 0.385 0.721 1
```

Offset from the most stable computed form   211 kJ/mol of formula units
Energy   -4.39 eV per atom
D(E_F)   18.6 states/eV per cell



(6)
The following is a DFT calculation (PBE) of a relaxed structure of Tb16Sm6Dy7.

CIF file:
```
data_Tb16Sm6Dy7
_symmetry_space_group_name_H-M 'P 1'
_symmetry_Int_Tables_number 1
_cell_length_a 11.168
_cell_length_b 11.168
_cell_length_c 11.168
_cell_angle_alpha 60.00
_cell_angle_beta 60.00
_cell_angle_gamma 60.00
loop_
_symmetry_equiv_pos_as_xyz
'x,y,z'
loop_
_atom_site_label
_atom_site_type_symbol
_atom_site_fract_x
_atom_site_fract_y
_atom_site_fract_z
_atom_site_occupancy
Tb1 Tb 0.875 0.875 0.375 1
Tb2 Tb 0.875 0.875 0.875 1
Tb3 Tb 0.875 0.375 0.875 1
Tb4 Tb 0.375 0.875 0.875 1
Tb5 Tb 0.125 0.125 0.125 1
Tb6 Tb 0.125 0.125 0.625 1
Tb7 Tb 0.125 0.625 0.125 1
Tb8 Tb 0.625 0.125 0.125 1
Tb9 Tb 0.651 0.651 0.046 1
Tb10 Tb 0.651 0.651 0.651 1
Tb11 Tb 0.651 0.046 0.651 1
Tb12 Tb 0.046 0.651 0.651 1
Tb13 Tb 0.349 0.349 0.349 1
Tb14 Tb 0.349 0.349 0.954 1
Tb15 Tb 0.349 0.954 0.349 1
Tb16 Tb 0.954 0.349 0.349 1
Sm1 Sm 0.274 0.726 0.274 1
Sm2 Sm 0.726 0.274 0.726 1
Sm3 Sm 0.726 0.274 0.274 1
Sm4 Sm 0.274 0.726 0.726 1
Sm5 Sm 0.726 0.726 0.274 1
Sm6 Sm 0.274 0.274 0.726 1
Dy1 Dy 0.000 0.000 0.000 1
Dy2 Dy 0.500 0.000 0.500 1
Dy3 Dy 0.000 0.500 0.000 1
Dy4 Dy 0.000 0.500 0.500 1
Dy5 Dy 0.500 0.000 0.000 1
Dy6 Dy 0.000 0.000 0.500 1
Dy7 Dy 0.500 0.500 0.000 1
```

Energy   -4.41 eV per atom
D(E_F)   53.5 states/eV per cell



Ordered V results: 39.554; 33.072; 33.094; 34.209; 35.226; 33.962; unit Å³ per atom.